# 1
Compound: Ca3Pb2Au
Source: Alexandria
Functional: GGA-PBE
Structure: optimized geometry

Cell: 12.832 4.779 11.832 Å, 90.00 90.00 90.00°
Fractional positions:
Ca 0.049 0.250 0.122
Ca 0.122 0.750 0.559
Ca 0.230 0.250 0.805
Ca 0.270 0.750 0.305
Ca 0.378 0.250 0.059
Ca 0.451 0.750 0.622
Ca 0.549 0.250 0.378
Ca 0.622 0.750 0.941
Ca 0.730 0.250 0.695
Ca 0.770 0.750 0.195
Ca 0.878 0.250 0.441
Ca 0.951 0.750 0.878
Pb 0.004 0.750 0.304
Pb 0.189 0.750 0.013
Pb 0.311 0.250 0.513
Pb 0.496 0.250 0.804
Pb 0.504 0.750 0.196
Pb 0.689 0.750 0.487
Pb 0.811 0.250 0.987
Pb 0.996 0.250 0.696
Au 0.122 0.250 0.378
Au 0.378 0.750 0.878
Au 0.622 0.250 0.122
Au 0.878 0.750 0.622

Energy above the lowest structure with this stoichiometry, meV/atom: 51.2
DFT total energy, eV/atom: -3.36
Symmetry: Pnma
Formation enthalpy at 0 K, eV/atom: -0.573


# 2
Compound: PrTmAl4
Source: Alexandria
Functional: GGA-PBE
Structure: optimized geometry

Cell: 5.622 5.622 5.622 Å, 60.00 60.00 60.00°
Fractional positions:
Pr 0.000 0.000 0.000
Tm 0.250 0.250 0.250
Al 0.126 0.625 0.625
Al 0.625 0.126 0.625
Al 0.625 0.625 0.126
Al 0.625 0.625 0.625

DFT total energy, eV/atom: -4.51
Symmetry: F-43m
Formation enthalpy at 0 K, eV/atom: -0.475